Record 1
Be2CdPd2 | meta-GGA SCAN | single point on PBEsol structure

Energy relative to the elements in meV per atom: -333
Excess energy over the best structure of this formula in the dataset in meV per atom: 175.4
Magnetic moment in μB/cell: 0.000
D(E_F) in states/eV/f.u.: 1.80

a b c (Å): 3.3678 3.3678 12.0748
angles (deg): 90.00 90.00 90.00
Space group I4/mmm (No. 139)
Unique sites:
1 Be 0.0000 0.5000 0.2500
2 Cd 0.0000 0.0000 0.0000
3 Pd 0.0000 0.0000 0.3803

=====

Record 2
Be2CdPt2 | meta-GGA SCAN | single point on PBEsol structure

Energy relative to the elements in meV per atom: -696
Magnetic moment in μB/cell: 0.000
D(E_F) in states/eV/f.u.: 0.99

a b c (Å): 6.8361 6.8361 2.7472
angles (deg): 90.00 90.00 90.00
Space group P4/mbm (No. 127)
Unique sites:
1 Be 0.1281 0.3719 0.0000
2 Cd 0.0000 0.0000 0.0000
3 Pt 0.1598 0.6598 0.5000

=====

Record 3
BeCdSi2Pt | meta-GGA SCAN | single point on PBEsol structure

Magnetic moment in μB/cell: 0.000
Raw formation energy in eV per formula unit: 7.335
D(E_F) in states/eV/f.u.: 1.65

a b c (Å): 4.7805 4.7805 4.2297
angles (deg): 90.00 90.00 90.00
Space group P4/mmm (No. 123)
Unique sites:
1 Be 0.0000 0.0000 0.0000
2 Cd 0.0000 0.0000 0.5000
3 Si 0.0000 0.5000 0.5000
4 Pt 0.5000 0.5000 0.0000

=====

Record 4
SrBeCdPt2 | meta-GGA SCAN | single point on PBEsol structure

Energy relative to the elements in meV per atom: -134
Magnetic moment in μB/cell: 0.000
D(E_F) in states/eV/f.u.: 1.55

a b c (Å): 4.3226 4.3226 5.1532
angles (deg): 90.00 90.00 90.00
Space group P4/mmm (No. 123)
Unique sites:
1 Sr 0.0000 0.0000 0.0000
2 Be 0.0000 0.0000 0.5000
3 Cd 0.5000 0.5000 0.0000
4 Pt 0.0000 0.5000 0.5000

=====

Record 5
Rb3BeCd | meta-GGA SCAN | single point on PBEsol structure

Energy relative to the elements in meV per atom: 714
Magnetic moment in μB/cell: 0.000
D(E_F) in states/eV/f.u.: 4.76

a b c (Å): 6.7604 6.7604 6.7604
angles (deg): 90.00 90.00 90.00
Space group Pm-3m (No. 221)
Unique sites:
1 Rb 0.0000 0.0000 0.5000
2 Be 0.5000 0.5000 0.5000
3 Cd 0.0000 0.0000 0.0000

=====

Record 6
Be2CdRe | meta-GGA SCAN | single point on PBEsol structure

Energy relative to the elements in meV per atom: 307
Magnetic moment in μB/cell: 0.000
D(E_F) in states/eV/f.u.: 1.58

a b c (Å): 2.6667 3.0234 6.2387
angles (deg): 90.00 90.00 90.00
Space group Pmm2 (No. 25)
Unique sites:
1 Be 0.0000 0.0000 0.0000
2 Be 0.5000 0.5000 0.1674
3 Cd 0.0000 0.0000 0.4451
4 Re 0.5000 0.5000 0.7874

=====

Record 7
Be2CdRe | meta-GGA SCAN | single point on PBEsol structure

Energy relative to the elements in meV per atom: 254
Magnetic moment in μB/cell: 0.000
D(E_F) in states/eV/f.u.: 1.67

a b c (Å): 3.9544 2.6696 9.4503
angles (deg): 90.00 90.00 90.00
Space group Amm2 (No. 38)
Unique sites:
1 Be 0.0000 0.0000 0.0000
2 Be 0.5000 0.0000 0.1386
3 Cd 0.5000 0.0000 0.3977
4 Re 0.0000 0.0000 0.7192

=====

Record 8
BeCd2Re | meta-GGA SCAN | single point on PBEsol structure

Energy relative to the elements in meV per atom: 602
Magnetic moment in μB/cell: 0.001
D(E_F) in states/eV/f.u.: 1.95

a b c (Å): 3.7149 3.8582 4.2704
angles (deg): 90.00 90.00 90.00
Space group Pmmm (No. 47)
Unique sites:
1 Be 0.0000 0.0000 0.0000
2 Cd 0.0000 0.5000 0.5000
3 Cd 0.5000 0.0000 0.5000
4 Re 0.5000 0.5000 0.0000

=====

Record 9
BeCd2Re | meta-GGA SCAN | single point on PBEsol structure

Energy relative to the elements in meV per atom: 365
Magnetic moment in μB/cell: 0.000
D(E_F) in states/eV/f.u.: 1.70

a b c (Å): 3.1354 4.4890 8.9511
angles (deg): 90.00 90.00 90.00
Space group Cmm2 (No. 35)
Unique sites:
1 Be 0.0000 0.0000 0.0000
2 Cd 0.0000 0.0000 0.5404
3 Cd 0.0000 0.5000 0.2370
4 Re 0.0000 0.5000 0.8112

=====

Record 10
BeCd2Re | meta-GGA SCAN | single point on PBEsol structure

Energy relative to the elements in meV per atom: 608
Magnetic moment in μB/cell: 0.000
D(E_F) in states/eV/f.u.: 1.48

a b c (Å): 2.8714 4.8180 9.0485
angles (deg): 90.00 90.00 90.00
Space group Cmmm (No. 65)
Unique sites:
1 Be 0.0000 0.0000 0.0000
2 Cd 0.0000 0.5000 0.2299
3 Re 0.0000 0.0000 0.5000

=====

Record 11
Be2CdRh | meta-GGA SCAN | single point on PBEsol structure

Energy relative to the elements in meV per atom: -164
Magnetic moment in μB/cell: 0.000
D(E_F) in states/eV/f.u.: 1.03

a b c (Å): 7.8455 2.9780 4.6554
angles (deg): 90.00 106.34 90.00
Space group C2/m (No. 12)
Unique sites:
1 Be 0.2280 0.0000 0.1522
2 Cd 0.0000 0.0000 0.5000
3 Rh 0.0000 0.5000 0.0000

=====

Record 12
Be2CdRh | meta-GGA SCAN | single point on PBEsol structure

Energy relative to the elements in meV per atom: 191
Magnetic moment in μB/cell: 0.000
D(E_F) in states/eV/f.u.: 1.13

a b c (Å): 3.8462 3.8462 15.6483
angles (deg): 90.00 90.00 90.00
Space group I-42d (No. 122)
Unique sites:
1 Be 0.1237 0.2500 0.1250
2 Cd 0.0000 0.0000 0.5000
3 Rh 0.0000 0.0000 0.0000

=====

Record 13
BeCdRh2 | meta-GGA SCAN | single point on PBEsol structure

Energy relative to the elements in meV per atom: -226
Magnetic moment in μB/cell: 0.000
D(E_F) in states/eV/f.u.: 2.23

a b c (Å): 2.8281 4.4994 8.3561
angles (deg): 90.00 90.00 90.00
Space group Immm (No. 71)
Unique sites:
1 Be 0.0000 0.0000 0.0000
2 Cd 0.0000 0.0000 0.5000
3 Rh 0.0000 0.5000 0.2873

=====

Record 14
BeCdRh2 | meta-GGA SCAN | single point on PBEsol structure

Energy relative to the elements in meV per atom: -354
Magnetic moment in μB/cell: 0.002
D(E_F) in states/eV/f.u.: 4.11

a b c (Å): 2.8406 2.8406 6.5296
angles (deg): 90.00 90.00 90.00
Space group P4/mmm (No. 123)
Unique sites:
1 Be 0.0000 0.0000 0.0000
2 Cd 0.0000 0.0000 0.5000
3 Rh 0.5000 0.5000 0.2011

=====

Record 15
BeCdRh2 | meta-GGA SCAN | single point on PBEsol structure

Energy relative to the elements in meV per atom: 52
Magnetic moment in μB/cell: 0.000
D(E_F) in states/eV/f.u.: 2.18

a b c (Å): 2.9000 4.2444 4.5009
angles (deg): 90.00 90.00 90.00
Space group Pmmm (No. 47)
Unique sites:
1 Be 0.0000 0.0000 0.0000
2 Cd 0.5000 0.0000 0.5000
3 Rh 0.0000 0.5000 0.5000
4 Rh 0.5000 0.5000 0.0000

=====

Record 16
BeCdRh2 | meta-GGA SCAN | single point on PBEsol structure

Energy relative to the elements in meV per atom: 14
Magnetic moment in μB/cell: 0.000
D(E_F) in states/eV/f.u.: 3.63

a b c (Å): 3.8225 3.8225 7.5348
angles (deg): 90.00 90.00 90.00
Space group I-4m2 (No. 119)
Unique sites:
1 Be 0.0000 0.0000 0.0000
2 Cd 0.0000 0.5000 0.2500
3 Rh 0.0000 0.0000 0.5000
4 Rh 0.0000 0.5000 0.7500

=====

Record 17
BeCdRh2 | meta-GGA SCAN | single point on PBEsol structure

Energy relative to the elements in meV per atom: -89
Magnetic moment in μB/cell: 0.000
D(E_F) in states/eV/f.u.: 2.78

a b c (Å): 4.2337 4.2337 3.0491
angles (deg): 90.00 90.00 90.00
Space group P4/mmm (No. 123)
Unique sites:
1 Be 0.0000 0.0000 0.0000
2 Cd 0.5000 0.5000 0.0000
3 Rh 0.0000 0.5000 0.5000

=====

Record 18
Be2CdRh | meta-GGA SCAN | single point on PBEsol structure

Energy relative to the elements in meV per atom: -225
Magnetic moment in μB/cell: 0.000
D(E_F) in states/eV/f.u.: 1.06

a b c (Å): 2.8788 2.8788 5.9499
angles (deg): 90.00 90.00 90.00
Space group P4mm (No. 99)
Unique sites:
1 Be 0.0000 0.0000 0.0000
2 Be 0.5000 0.5000 0.2002
3 Cd 0.0000 0.0000 0.4868
4 Rh 0.5000 0.5000 0.8250

=====

Record 19
BeCd2Rh | meta-GGA SCAN | single point on PBEsol structure

Energy relative to the elements in meV per atom: -88
Magnetic moment in μB/cell: 0.000
D(E_F) in states/eV/f.u.: 0.98

a b c (Å): 3.0267 3.9551 5.4038
angles (deg): 90.00 106.16 90.00
Space group Pm (No. 6)
Unique sites:
1 Be 0.0000 0.0000 0.0000
2 Cd 0.2865 0.0000 0.5705
3 Cd 0.6253 0.5000 0.2506
4 Rh 0.9039 0.5000 0.8068

=====

Record 20
Be2CdRh | meta-GGA SCAN | single point on PBEsol structure

Energy relative to the elements in meV per atom: 51
Magnetic moment in μB/cell: 0.000
D(E_F) in states/eV/f.u.: 1.05

a b c (Å): 5.9010 5.9010 5.9010
angles (deg): 90.00 90.00 90.00
Space group F-43m (No. 216)
Unique sites:
1 Be 0.0000 0.0000 0.0000
2 Be 0.2500 0.2500 0.2500
3 Cd 0.2500 0.2500 0.7500
4 Rh 0.0000 0.0000 0.5000

=====

Record 21
BeCdRh2 | meta-GGA SCAN | single point on PBEsol structure

Energy relative to the elements in meV per atom: -245
Magnetic moment in μB/cell: 0.000
D(E_F) in states/eV/f.u.: 1.15

a b c (Å): 2.8048 3.6762 5.4197
angles (deg): 90.00 103.30 90.00
Space group P2/m (No. 10)
Unique sites:
1 Be 0.0000 0.0000 0.0000
2 Cd 0.0000 0.0000 0.5000
3 Rh 0.3628 0.5000 0.2095

=====

Record 22
BeCdRu2 | meta-GGA SCAN | single point on PBEsol structure

Energy relative to the elements in meV per atom: 329
Excess energy over the best structure of this formula in the dataset in meV per atom: 0.0
Magnetic moment in μB/cell: 0.001
D(E_F) in states/eV/f.u.: 2.79

a b c (Å): 6.0242 6.0242 6.0242
angles (deg): 90.00 90.00 90.00
Space group F-43m (No. 216)
Unique sites:
1 Be 0.0000 0.0000 0.0000
2 Cd 0.2500 0.2500 0.7500
3 Ru 0.0000 0.0000 0.5000
4 Ru 0.2500 0.2500 0.2500

=====

Record 23
BeCdRu | meta-GGA SCAN | single point on PBEsol structure

Energy relative to the elements in meV per atom: 257
Excess energy over the best structure of this formula in the dataset in meV per atom: 212.3
Magnetic moment in μB/cell: 0.000
D(E_F) in states/eV/f.u.: 0.51

a b c (Å): 5.5468 5.5468 5.5468
angles (deg): 90.00 90.00 90.00
Space group F-43m (No. 216)
Unique sites:
1 Be 0.0000 0.0000 0.0000
2 Cd 0.2500 0.2500 0.7500
3 Ru 0.2500 0.2500 0.2500

=====

Record 24
BeCdRu2 | meta-GGA SCAN | single point on PBEsol structure

Energy relative to the elements in meV per atom: 424
Excess energy over the best structure of this formula in the dataset in meV per atom: 94.7
Magnetic moment in μB/cell: 5.606
D(E_F) in states/eV/f.u.: 2.46

a b c (Å): 3.7229 3.7229 7.9605
angles (deg): 90.00 90.00 90.00
Space group I4/mmm (No. 139)
Unique sites:
1 Be 0.0000 0.0000 0.0000
2 Cd 0.0000 0.0000 0.5000
3 Ru 0.0000 0.5000 0.2500

=====

Record 25
BeCdRu | meta-GGA SCAN | single point on PBEsol structure

Energy relative to the elements in meV per atom: 45
Excess energy over the best structure of this formula in the dataset in meV per atom: 0.0
Magnetic moment in μB/cell: 0.011
D(E_F) in states/eV/f.u.: 2.30

a b c (Å): 2.9566 2.9566 9.4557
angles (deg): 90.00 90.00 90.00
Space group I4mm (No. 107)
Unique sites:
1 Be 0.0000 0.0000 0.0000
2 Cd 0.0000 0.0000 0.7020
3 Ru 0.0000 0.0000 0.4055

=====

Record 26
BeCdS2 | meta-GGA SCAN | single point on PBEsol structure

Excess energy over the best structure of this formula in the dataset in meV per atom: 0.0
Magnetic moment in μB/cell: 0.000
Raw formation energy in eV per formula unit: -3.874
D(E_F) in states/eV/f.u.: 0.00

a b c (Å): 5.4187 5.4187 10.1300
angles (deg): 90.00 90.00 90.00
Space group I-42d (No. 122)
Unique sites:
1 Be 0.0000 0.0000 0.0000
2 Cd 0.0000 0.0000 0.5000
3 S 0.1860 0.2500 0.1250

=====

Record 27
BeCdS2 | meta-GGA SCAN | single point on PBEsol structure

Excess energy over the best structure of this formula in the dataset in meV per atom: 349.8
Magnetic moment in μB/cell: 0.000
Raw formation energy in eV per formula unit: -2.474
D(E_F) in states/eV/f.u.: 0.00

a b c (Å): 4.0459 4.0459 19.2280
angles (deg): 90.00 90.00 120.00
Space group R-3m (No. 166, hexagonal axes)
Unique sites:
1 Be 0.0000 0.0000 0.0000
2 Cd 0.0000 0.0000 0.5000
3 S 0.0000 0.0000 0.0979

=====

Record 28
BeCd2Sb | meta-GGA SCAN | single point on PBEsol structure

Magnetic moment in μB/cell: 0.000
Raw formation energy in eV per formula unit: 2.276
D(E_F) in states/eV/f.u.: 1.82

a b c (Å): 6.9422 6.9422 6.9422
angles (deg): 90.00 90.00 90.00
Space group Fm-3m (No. 225)
Unique sites:
1 Be 0.0000 0.0000 0.0000
2 Cd 0.2500 0.2500 0.2500
3 Sb 0.0000 0.0000 0.5000

=====

Record 29
BeCdSb2 | meta-GGA SCAN | single point on PBEsol structure

Magnetic moment in μB/cell: 0.000
Raw formation energy in eV per formula unit: 2.071
D(E_F) in states/eV/f.u.: 1.72

a b c (Å): 4.0340 4.0867 5.3206
angles (deg): 90.00 90.00 90.00
Space group Pmmm (No. 47)
Unique sites:
1 Be 0.0000 0.0000 0.0000
2 Cd 0.0000 0.5000 0.5000
3 Sb 0.5000 0.0000 0.5000
4 Sb 0.5000 0.5000 0.0000

=====

Record 30
Be2CdSb | meta-GGA SCAN | single point on PBEsol structure

Excess energy over the best structure of this formula in the dataset in meV per atom: 0.0
Magnetic moment in μB/cell: 0.000
Raw formation energy in eV per formula unit: 1.863
D(E_F) in states/eV/f.u.: 1.58

a b c (Å): 3.0107 3.0107 7.3621
angles (deg): 90.00 90.00 90.00
Space group P4mm (No. 99)
Unique sites:
1 Be 0.0000 0.0000 0.0000
2 Be 0.5000 0.5000 0.1226
3 Cd 0.0000 0.0000 0.3570
4 Sb 0.5000 0.5000 0.7478